Entry from Alexandria via LeMat-Bulk: crystalline MgAlTlTe3 at its relaxed geometry (GGA-PBE).

The total energy is -3.376 eV per atom. The value obtained for the density of states at the Fermi level is 0.02 states/eV/atom.

It has space group P2_1/m (No. 11), with a = 9.2859 Å, b = 4.2321 Å, c = 10.7572 Å, α = 90.00°, β = 106.12° and γ = 90.00°. Symmetry generates all atoms from Mg at (0.1507, 0.2500, 0.0935), Al at (0.4104, 0.7500, 0.3719), Tl at (0.2713, 0.7500, 0.7752), Te at (0.0199, 0.2500, 0.8211), Te at (0.3004, 0.2500, 0.4753) and Te at (0.3903, 0.7500, 0.1295).



Entry from Alexandria via LeMat-Bulk: crystalline Th2MgAl6 at its relaxed geometry (GGA-PBE).

The total energy is -4.546 eV per atom. The value obtained for the density of states at the Fermi level is 0.74 states/eV/atom. The calculation puts the formation enthalpy at 0 K at -0.225 eV per atom.

It has space group P6/mmm (No. 191), with a = 8.0846 Å, b = 8.0846 Å, c = 3.4639 Å, α = 90.00°, β = 90.00° and γ = 120.00°. Symmetry generates all atoms from Th at (0.3333, 0.6667, 0.0000), Mg at (0.0000, 0.0000, 0.0000) and Al at (0.0000, 0.3278, 0.5000).



Entry from Alexandria via LeMat-Bulk: crystalline ThMgAl2 at its relaxed geometry (GGA-PBE).

The total energy is -4.338 eV per atom. The value obtained for the density of states at the Fermi level is 0.61 states/eV/atom. The energy above the lowest structure with this stoichiometry is 0 meV/atom. The calculation puts the formation enthalpy at 0 K at -0.213 eV per atom.

It has space group P4/mmm (No. 123), with a = 4.5939 Å, b = 4.5939 Å, c = 4.3803 Å, α = 90.00°, β = 90.00° and γ = 90.00°. Symmetry generates all atoms from Th at (0.0000, 0.0000, 0.0000), Mg at (0.5000, 0.5000, 0.0000) and Al at (0.0000, 0.5000, 0.5000).



Entry from Alexandria via LeMat-Bulk: crystalline Th3Mg2Al7 at its relaxed geometry (GGA-PBE).

The total energy is -4.591 eV per atom. The value obtained for the density of states at the Fermi level is 0.65 states/eV/atom. The calculation puts the formation enthalpy at 0 K at -0.287 eV per atom.

It has space group R-3m (No. 166, hexagonal axes), with a = 5.7332 Å, b = 5.7332 Å, c = 27.0662 Å, α = 90.00°, β = 90.00° and γ = 120.00°. Symmetry generates all atoms from Th at (0.0000, 0.0000, 0.0000), Th at (0.0000, 0.0000, 0.1414), Mg at (0.0000, 0.0000, 0.3349), Al at (0.0000, 0.0000, 0.5000) and Al at (0.0066, 0.5033, 0.9145).



Entry from Alexandria via LeMat-Bulk: crystalline ThMgAl4 at its relaxed geometry (GGA-PBE).

The total energy is -4.213 eV per atom. The value obtained for the density of states at the Fermi level is 0.30 states/eV/atom. The calculation puts the formation enthalpy at 0 K at -0.215 eV per atom.

It has space group Immm (No. 71), with a = 4.4931 Å, b = 6.7702 Å, c = 8.3506 Å, α = 90.00°, β = 90.00° and γ = 90.00°. Symmetry generates all atoms from Th at (0.0000, 0.0000, 0.0000), Mg at (0.0000, 0.5000, 0.0000) and Al at (0.0000, 0.2131, 0.3373).



Entry from Alexandria via LeMat-Bulk: crystalline ThMg2Al6 at its relaxed geometry (GGA-PBE).

The total energy is -3.772 eV per atom. The value obtained for the density of states at the Fermi level is 0.47 states/eV/atom. The calculation puts the formation enthalpy at 0 K at -0.098 eV per atom.

It has space group Cmmm (No. 65), with a = 8.0455 Å, b = 14.0346 Å, c = 3.2856 Å, α = 90.00°, β = 90.00° and γ = 90.00°. Symmetry generates all atoms from Th at (0.0000, 0.0000, 0.0000), Mg at (0.0000, 0.3336, 0.0000), Al at (0.1605, 0.5000, 0.5000) and Al at (0.1701, 0.1698, 0.5000).



Entry from Alexandria via LeMat-Bulk: crystalline ThMg3Al8 at its relaxed geometry (GGA-PBE).

The total energy is -3.636 eV per atom. The value obtained for the density of states at the Fermi level is 0.51 states/eV/atom. The calculation puts the formation enthalpy at 0 K at -0.124 eV per atom.

It has space group P3m1 (No. 156), with a = 5.5392 Å, b = 5.5392 Å, c = 8.8530 Å, α = 90.00°, β = 90.00° and γ = 120.00°. Symmetry generates all atoms from Th at (0.0000, 0.0000, 0.0000), Mg at (0.0000, 0.0000, 0.3827), Mg at (0.6667, 0.3333, 0.4997), Mg at (0.6667, 0.3333, 0.8608), Al at (0.1622, 0.3244, 0.6848), Al at (0.3333, 0.6667, 0.4445), Al at (0.3333, 0.6667, 0.9360) and Al at (0.5037, 0.0073, 0.1918).



Entry from Alexandria via LeMat-Bulk: crystalline ThMgAl2 at its relaxed geometry (GGA-PBE).

The total energy is -4.268 eV per atom. The value obtained for the density of states at the Fermi level is 1.01 states/eV/atom. The energy above the lowest structure with this stoichiometry is 70 meV/atom. The calculation puts the formation enthalpy at 0 K at -0.143 eV per atom.

It has space group P4/mmm (No. 123), with a = 3.4851 Å, b = 3.4851 Å, c = 7.3817 Å, α = 90.00°, β = 90.00° and γ = 90.00°. Symmetry generates all atoms from Th at (0.0000, 0.0000, 0.0000), Mg at (0.0000, 0.0000, 0.5000) and Al at (0.5000, 0.5000, 0.2909).